(1)
# meta-GGA SCAN FeCo5, PBEsol geometry
# - Mass density: 9.3 Mg/m³
data_FeCo5
_cell_length_a 4.004
_cell_length_b 6.494
_cell_length_c 6.494
_cell_angle_alpha 21.81
_cell_angle_beta 90.00
_cell_angle_gamma 90.00
_space_group_name_H-M_alt 'P 1'
_space_group_IT_number 1
loop_
_space_group_symop_operation_xyz
'x,y,z'
loop_
_atom_site_label
_atom_site_type_symbol
_atom_site_fract_x
_atom_site_fract_y
_atom_site_fract_z
Fe1 Fe 0.000 0.000 0.000
Co1 Co 0.000 0.332 0.332
Co2 Co 0.000 0.668 0.668
Co3 Co 0.500 0.112 0.112
Co4 Co 0.500 0.444 0.444
Co5 Co 0.500 0.779 0.779

(2)
# meta-GGA SCAN Ba2SrAu2, PBEsol geometry
# - Mass density: 7.4 Mg/m³
data_Ba2SrAu2
_cell_length_a 8.539
_cell_length_b 8.539
_cell_length_c 4.658
_cell_angle_alpha 90.00
_cell_angle_beta 90.00
_cell_angle_gamma 90.00
_space_group_name_H-M_alt 'P 1'
_space_group_IT_number 1
loop_
_space_group_symop_operation_xyz
'x,y,z'
loop_
_atom_site_label
_atom_site_type_symbol
_atom_site_fract_x
_atom_site_fract_y
_atom_site_fract_z
Ba1 Ba 0.163 0.337 0.000
Ba2 Ba 0.337 0.837 0.000
Ba3 Ba 0.663 0.163 0.000
Ba4 Ba 0.837 0.663 0.000
Sr1 Sr 0.000 0.000 0.500
Sr2 Sr 0.500 0.500 0.500
Au1 Au 0.131 0.631 0.500
Au2 Au 0.369 0.131 0.500
Au3 Au 0.631 0.869 0.500
Au4 Au 0.869 0.369 0.500

(3)
# meta-GGA SCAN BaAl2Cd, PBEsol geometry
# - Mass density: 5.0 Mg/m³
data_BaAl2Cd
_cell_length_a 3.238
_cell_length_b 4.092
_cell_length_c 7.543
_cell_angle_alpha 90.00
_cell_angle_beta 90.00
_cell_angle_gamma 90.00
_space_group_name_H-M_alt 'P 1'
_space_group_IT_number 1
loop_
_space_group_symop_operation_xyz
'x,y,z'
loop_
_atom_site_label
_atom_site_type_symbol
_atom_site_fract_x
_atom_site_fract_y
_atom_site_fract_z
Ba1 Ba 0.000 0.000 0.000
Al1 Al 0.500 0.500 0.317
Al2 Al 0.500 0.500 0.683
Cd1 Cd 0.000 0.000 0.500

Calculated formation enthalpy at 0 K in order - 0.07; -0.74; -0.03 eV/atom